[1]
A relaxed structure of Nd2SmTm4Sc, computed with PBE.

abc: 5.0047 5.0047 9.9090
angles: 90.00 90.00 90.00
Closest atoms and distances in Å follow each position.
Atoms (fractional coordinates):
Nd1 0.0000 0.0000 0.0000  8 Tm 3.48, 4 Sc 3.54
Nd2 0.5000 0.5000 0.5000  4 Sm 3.54, 8 Tm 3.56
Sm1 0.0000 0.0000 0.5000  4 Nd 3.54, 8 Tm 3.56
Tm1 0.0000 0.5000 0.2444  2 Sc 3.48, 4 Nd 3.48-3.56, 4 Tm 3.54, 2 Sm 3.56
Tm2 0.0000 0.5000 0.7556  2 Sc 3.48, 4 Nd 3.48-3.56, 4 Tm 3.54, 2 Sm 3.56
Tm3 0.5000 0.0000 0.2444  2 Sc 3.48, 4 Nd 3.48-3.56, 4 Tm 3.54, 2 Sm 3.56
Tm4 0.5000 0.0000 0.7556  2 Sc 3.48, 4 Nd 3.48-3.56, 4 Tm 3.54, 2 Sm 3.56
Sc1 0.5000 0.5000 0.0000  8 Tm 3.48, 4 Nd 3.54

Values from the calculation:
- ΔH_f (0 K) (eV/atom) = 0.04
- total magnetic moment (μB per formula unit) = 0.00
- raw total energy (eV per cell) = -38.2



[2]
A relaxed structure of MnVNi14, computed with PBE.

abc: 5.0176 5.0176 7.0386
angles: 90.00 90.00 90.00
Closest atoms and distances in Å follow each position.
Atoms (fractional coordinates):
Mn1 0.0000 0.0000 0.0000  12 Ni 2.51
V1 0.5000 0.5000 0.0000  12 Ni 2.50-2.51
Ni1 0.0000 0.0000 0.5000  12 Ni 2.50-2.51
Ni2 0.0000 0.5000 0.0000  8 Ni 2.50, 2 V 2.51, 2 Mn 2.51
Ni3 0.0000 0.5000 0.5000  12 Ni 2.49-2.51
Ni4 0.2512 0.2512 0.2508  10 Ni 2.49-2.52, 1 V 2.50, 1 Mn 2.51
Ni5 0.2512 0.2512 0.7492  10 Ni 2.49-2.52, 1 V 2.50, 1 Mn 2.51
Ni6 0.2512 0.7488 0.2508  10 Ni 2.49-2.52, 1 V 2.50, 1 Mn 2.51
Ni7 0.2512 0.7488 0.7492  10 Ni 2.49-2.52, 1 V 2.50, 1 Mn 2.51
Ni8 0.5000 0.0000 0.0000  8 Ni 2.50, 2 V 2.51, 2 Mn 2.51
Ni9 0.5000 0.0000 0.5000  12 Ni 2.49-2.51
Ni10 0.5000 0.5000 0.5000  12 Ni 2.49-2.51
Ni11 0.7488 0.2512 0.2508  10 Ni 2.49-2.52, 1 V 2.50, 1 Mn 2.51
Ni12 0.7488 0.2512 0.7492  10 Ni 2.49-2.52, 1 V 2.50, 1 Mn 2.51
Ni13 0.7488 0.7488 0.2508  10 Ni 2.49-2.52, 1 V 2.50, 1 Mn 2.51
Ni14 0.7488 0.7488 0.7492  10 Ni 2.49-2.52, 1 V 2.50, 1 Mn 2.51

Values from the calculation:
- ΔH_f (0 K) (eV/atom) = -0.07
- total magnetic moment (μB per formula unit) = 8.99
- raw total energy (eV per cell) = -100.3



[3]
A relaxed structure of Sm2SnHRh6, computed with PBE.

abc: 6.2794 6.2794 6.0952
angles: 118.91 118.91 90.02
Closest atoms and distances in Å follow each position.
Atoms (fractional coordinates):
Sm1 0.2434 0.7566 0.0000  12 Rh 3.07-3.25
Sm2 0.7566 0.2434 0.0000  12 Rh 3.07-3.25
Sn1 0.0000 0.0000 0.5000  6 Rh 2.52
H1 0.5000 0.5000 0.5000  6 Rh 1.92-1.94
Rh1 0.2836 0.7164 0.5000  1 H 1.92
Rh2 0.2906 0.2906 0.0649  1 H 1.94
Rh3 0.2917 0.2917 0.5172  1 H 1.92
Rh4 0.7083 0.7083 0.4828  1 H 1.92
Rh5 0.7094 0.7094 0.9351  1 H 1.94
Rh6 0.7164 0.2836 0.5000  1 H 1.92

Values from the calculation:
- total magnetic moment (μB per formula unit) = 0.00
- raw total energy (eV per cell) = -64.9



[4]
A relaxed structure of TiBe, computed with PBE.

abc: 8.9476 8.9476 2.8924
angles: 90.00 90.00 90.00
Closest atoms and distances in Å follow each position.
Atoms (fractional coordinates):
Ti1 0.0000 0.1985 0.0000  2 Be 2.26, 2 Ti 2.51
Ti2 0.0000 0.8015 0.0000  2 Be 2.26, 2 Ti 2.51
Ti3 0.1985 0.0000 0.0000  2 Be 2.26, 2 Ti 2.51
Ti4 0.2793 0.2793 0.5000  6 Be 2.70-2.73, 6 Ti 2.89-2.98
Ti5 0.2793 0.7207 0.5000  6 Be 2.70-2.73, 6 Ti 2.89-2.98
Ti6 0.7207 0.2793 0.5000  6 Be 2.70-2.73, 6 Ti 2.89-2.98
Ti7 0.7207 0.7207 0.5000  6 Be 2.70-2.73, 6 Ti 2.89-2.98
Ti8 0.8015 0.0000 0.0000  2 Be 2.26, 2 Ti 2.51
Be1 0.0000 0.3930 0.5000  1 Be 1.91
Be2 0.0000 0.6070 0.5000  1 Be 1.91
Be3 0.1438 0.5000 0.0000  4 Be 2.16
Be4 0.3930 0.0000 0.5000  1 Be 1.91
Be5 0.5000 0.1438 0.0000  4 Be 2.16
Be6 0.5000 0.8562 0.0000  4 Be 2.16
Be7 0.6070 0.0000 0.5000  1 Be 1.91
Be8 0.8562 0.5000 0.0000  4 Be 2.16

Values from the calculation:
- ΔH_f (0 K) (eV/atom) = 0.29
- total magnetic moment (μB per formula unit) = 0.00
- polymorph energy (0 for the lowest one) (eV/atom) = 0.431
- raw total energy (eV per cell) = -88.4



[5]
A relaxed structure of CaVH, computed with PBE.

abc: 4.6478 4.6478 4.6478
angles: 60.00 60.00 60.00
Closest atoms and distances in Å follow each position.
Atoms (fractional coordinates):
Ca1 0.0000 0.0000 0.0000  4 V 2.85
V1 0.2500 0.2500 0.2500  4 H 2.85, 4 Ca 2.85
H1 0.5000 0.5000 0.5000  4 V 2.85

Values from the calculation:
- total magnetic moment (μB per formula unit) = 5.14
- polymorph energy (0 for the lowest one) (eV/atom) = 1.557
- raw total energy (eV per cell) = -10.1



[6]
A relaxed structure of Tb8CdIn5, computed with PBE.

abc: 8.0957 8.0957 8.0957
angles: 109.58 109.58 109.25
Closest atoms and distances in Å follow each position.
Atoms (fractional coordinates):
Tb1 0.0270 0.6265 0.7460  5 In 3.14-3.34, 1 Cd 3.16, 1 Tb 3.50
Tb2 0.2284 0.4847 0.1000  5 In 3.14-3.32, 1 Cd 3.40
Tb3 0.3735 0.1194 0.4004  5 In 3.14-3.34, 1 Cd 3.16, 1 Tb 3.50
Tb4 0.3847 0.1285 0.9000  5 In 3.14-3.32, 1 Cd 3.40
Tb5 0.5153 0.6153 0.7438  5 In 3.14-3.32, 1 Cd 3.40
Tb6 0.7190 0.9730 0.5996  5 In 3.14-3.34, 1 Cd 3.16, 1 Tb 3.50
Tb7 0.8715 0.7716 0.2562  5 In 3.14-3.32, 1 Cd 3.40
Tb8 0.8806 0.2810 0.2540  5 In 3.14-3.34, 1 Cd 3.16, 1 Tb 3.50
Cd1 0.0000 0.0000 0.0000  8 Tb 3.16-3.40
In1 0.1196 0.2433 0.6229  8 Tb 3.14-3.34
In2 0.2500 0.7500 0.5000  8 Tb 3.14-3.28
In3 0.5033 0.8804 0.1237  8 Tb 3.14-3.34
In4 0.6204 0.4967 0.3771  8 Tb 3.14-3.34
In5 0.7567 0.3796 0.8763  8 Tb 3.14-3.34

Values from the calculation:
- ΔH_f (0 K) (eV/atom) = -0.29
- total magnetic moment (μB per formula unit) = 0.00
- raw total energy (eV per cell) = -55.6



[7]
A relaxed structure of La3PbSeN, computed with PBE.

abc: 9.4806 4.2802 9.6666
angles: 90.00 102.44 90.00
Closest atoms and distances in Å follow each position.
Atoms (fractional coordinates):
La1 0.0744 0.2500 0.3316  3 Se 3.02-3.05, 2 Pb 3.25
La2 0.3435 0.2500 0.9829  3 N 2.34-2.45
La3 0.3960 0.7500 0.6585  1 N 2.25
La4 0.6040 0.2500 0.3415  1 N 2.25
La5 0.6565 0.7500 0.0171  3 N 2.34-2.45
La6 0.9256 0.7500 0.6684  3 Se 3.02-3.05, 2 Pb 3.25
Pb1 0.3159 0.7500 0.2812  5 La 3.25-3.56
Pb2 0.6841 0.2500 0.7188  5 La 3.25-3.56
Se1 0.1508 0.2500 0.6511  6 La 3.02-3.33
Se2 0.8492 0.7500 0.3489  6 La 3.02-3.33
N1 0.4149 0.7500 0.8941  4 La 2.25-2.45
N2 0.5851 0.2500 0.1059  4 La 2.25-2.45

Values from the calculation:
- total magnetic moment (μB per formula unit) = 0.00
- E_form (uncorrected) (eV per atom) = -1.2823
- raw total energy (eV per cell) = -76.0



[8]
A relaxed structure of Pm2DyEr, computed with PBE.

abc: 5.0892 5.0892 5.0345
angles: 90.00 90.00 90.00
Closest atoms and distances in Å follow each position.
Atoms (fractional coordinates):
Pm1 0.0000 0.5000 0.0000  4 Dy 3.58, 4 Er 3.58, 4 Pm 3.60
Pm2 0.5000 0.0000 0.0000  4 Dy 3.58, 4 Er 3.58, 4 Pm 3.60
Dy1 0.0000 0.0000 0.5000  8 Pm 3.58, 4 Er 3.60
Er1 0.5000 0.5000 0.5000  8 Pm 3.58, 4 Dy 3.60

Values from the calculation:
- ΔH_f (0 K) (eV/atom) = 0.02
- total magnetic moment (μB per formula unit) = 0.00
- polymorph energy (0 for the lowest one) (eV/atom) = 0.006
- raw total energy (eV per cell) = -18.6



[9]
A relaxed structure of TiGa2Rh4, computed with PBE.

abc: 6.9996 6.9996 6.9996
angles: 142.22 142.22 54.50
Closest atoms and distances in Å follow each position.
Atoms (fractional coordinates):
Ti1 0.0000 0.0000 0.0000  6 Rh 2.27-2.32
Ga1 0.3813 0.3813 0.0000  5 Rh 2.43-2.70
Ga2 0.6187 0.6187 0.0000  5 Rh 2.43-2.70
Rh1 0.0000 0.5000 0.5000  2 Ti 2.27
Rh2 0.1860 0.1860 0.0000  1 Ti 2.32, 1 Ga 2.43
Rh3 0.5000 0.0000 0.5000  2 Ti 2.27
Rh4 0.8140 0.8140 0.0000  1 Ti 2.32, 1 Ga 2.43

Values from the calculation:
- ΔH_f (0 K) (eV/atom) = 0.23
- total magnetic moment (μB per formula unit) = 0.00
- raw total energy (eV per cell) = -41.7



[10]
A relaxed structure of Ag3BiO6, computed with PBE.

abc: 6.4214 6.4214 3.6672
angles: 90.00 90.00 111.13
Closest atoms and distances in Å follow each position.
Atoms (fractional coordinates):
Ag1 0.0000 0.0000 0.0000  4 O 2.02
Ag2 0.0000 0.5000 0.5000  6 O 2.16-2.27
Ag3 0.5000 0.0000 0.5000  6 O 2.16-2.27
Bi1 0.5000 0.5000 0.0000  8 O 2.36-2.52
O1 0.0802 0.3352 0.0000  3 Ag 2.02-2.27
O2 0.3352 0.0802 0.0000  3 Ag 2.02-2.27
O3 0.3602 0.6398 0.5000  2 Ag 2.16, 2 Bi 2.36
O4 0.6398 0.3602 0.5000  2 Ag 2.16, 2 Bi 2.36
O5 0.6648 0.9198 0.0000  3 Ag 2.02-2.27
O6 0.9198 0.6648 0.0000  3 Ag 2.02-2.27

Values from the calculation:
- total magnetic moment (μB per formula unit) = 1.42
- E_form (uncorrected) (eV per atom) = -0.2374
- raw total energy (eV per cell) = -44.6



[11]
A relaxed structure of Rb3Ce3ZrSe8, computed with PBE.

abc: 9.5265 9.5265 9.5265
angles: 53.17 53.17 53.17
Closest atoms and distances in Å follow each position.
Atoms (fractional coordinates):
Rb1 0.0000 0.5000 0.5000  6 Se 3.46-3.48
Rb2 0.5000 0.0000 0.5000  6 Se 3.46-3.48
Rb3 0.5000 0.5000 0.0000  6 Se 3.46-3.48
Ce1 0.0000 0.0000 0.5000  6 Se 2.96-2.97
Ce2 0.0000 0.5000 0.0000  6 Se 2.96-2.97
Ce3 0.5000 0.0000 0.0000  6 Se 2.96-2.97
Zr1 0.5000 0.5000 0.5000  6 Se 2.77
Se1 0.2338 0.2338 0.2338  3 Ce 2.96
Se2 0.2511 0.7189 0.7189  1 Zr 2.77, 2 Ce 2.97
Se3 0.2811 0.2811 0.7489  1 Zr 2.77, 2 Ce 2.97
Se4 0.2811 0.7489 0.2811  1 Zr 2.77, 2 Ce 2.97
Se5 0.7189 0.2511 0.7189  1 Zr 2.77, 2 Ce 2.97
Se6 0.7189 0.7189 0.2511  1 Zr 2.77, 2 Ce 2.97
Se7 0.7489 0.2811 0.2811  1 Zr 2.77, 2 Ce 2.97
Se8 0.7662 0.7662 0.7662  3 Ce 2.96

Values from the calculation:
- total magnetic moment (μB per formula unit) = 3.04
- E_form (uncorrected) (eV per atom) = -1.6049
- raw total energy (eV per cell) = -81.2